1:
Below is a relaxed structure of Tl2GaCl4, with properties calculated at the PBE level.

a = 5.0578 Å, b = 5.0578 Å, c = 8.8716 Å
α = 73.44°, β = 73.44°, γ = 90.00°
Closest atoms and distances in Å follow each position.
Fractional coordinates of all 7 atoms:
Tl (0.6460, 0.6460, 0.7079)  5 Cl 3.11-3.47
Tl (0.3540, 0.3540, 0.2921)  5 Cl 3.11-3.47
Ga (0.0000, 0.0000, 0.0000)  6 Cl 2.53-2.64
Cl (0.8373, 0.8373, 0.3254)  1 Ga 2.64
Cl (0.1627, 0.1627, 0.6746)  1 Ga 2.64
Cl (0.0000, 0.5000, 0.0000)  2 Ga 2.53
Cl (0.5000, 0.0000, 0.0000)  2 Ga 2.53

Properties
Mass density   4.96 g/cm3
SG   No. 139
Spin magnetization   0.0 μB per cell
Density of states at the Fermi level   1.84 states/eV/f.u.

2:
Below is a relaxed structure of Tl2GaCl4, with properties calculated at the PBE level.

a = 7.6164 Å, b = 7.6164 Å, c = 7.7759 Å
α = 119.32°, β = 119.32°, γ = 90.00°
Closest atoms and distances in Å follow each position.
Fractional coordinates of all 7 atoms:
Tl (0.7500, 0.2500, 0.5000)  4 Cl 3.14
Tl (0.2500, 0.7500, 0.5000)  4 Cl 3.14
Ga (0.5000, 0.5000, 0.0000)  4 Cl 2.45
Cl (0.8094, 0.4242, 0.2336)  1 Ga 2.45
Cl (0.4242, 0.8094, 0.2336)  1 Ga 2.45
Cl (0.5758, 0.5758, 0.7664)  1 Ga 2.45
Cl (0.1906, 0.1906, 0.7664)  1 Ga 2.45

Properties
Mass density   3.17 g/cm3
SG   No. 121
Spin magnetization   0.9 μB per cell
Density of states at the Fermi level   2.80 states/eV/f.u.

Computed stability ranking, most favorable first: 1, 2

1:
Below is a relaxed structure of VGa3Cl, with properties calculated at the PBE level.

a = 5.0589 Å, b = 5.0589 Å, c = 5.0589 Å
α = 90.00°, β = 90.00°, γ = 90.00°
Closest atoms and distances in Å follow each position.
Fractional coordinates of all 5 atoms:
V (0.0000, 0.0000, 0.0000)  6 Ga 2.53
Ga (0.0000, 0.5000, 0.0000)  2 V 2.53
Ga (0.0000, 0.0000, 0.5000)  2 V 2.53
Ga (0.5000, 0.0000, 0.0000)  2 V 2.53
Cl (0.5000, 0.5000, 0.5000)  12 Ga 3.58

Properties
Mass density   3.79 g/cm3
SG   No. 221
Spin magnetization   4.7 μB per cell
Density of states at the Fermi level   1.41 states/eV/f.u.

2:
Below is a relaxed structure of VGa3Cl, with properties calculated at the PBE level.

a = 5.0482 Å, b = 5.0482 Å, c = 5.0482 Å
α = 90.00°, β = 90.00°, γ = 90.00°
Closest atoms and distances in Å follow each position.
Fractional coordinates of all 5 atoms:
V (0.5000, 0.5000, 0.5000)  12 Ga 3.57
Ga (0.0000, 0.5000, 0.0000)  2 Cl 2.52
Ga (0.0000, 0.0000, 0.5000)  2 Cl 2.52
Ga (0.5000, 0.0000, 0.0000)  2 Cl 2.52
Cl (0.0000, 0.0000, 0.0000)  6 Ga 2.52

Properties
Mass density   3.81 g/cm3
SG   No. 221
Spin magnetization   3.5 μB per cell
Density of states at the Fermi level   8.26 states/eV/f.u.

Computed stability ranking, most favorable first: 1, 2

1:
Below is a relaxed structure of GaW2Cl, with properties calculated at the PBE level.

a = 4.4204 Å, b = 4.4204 Å, c = 4.4204 Å
α = 60.00°, β = 60.00°, γ = 60.00°
Closest atoms and distances in Å follow each position.
Fractional coordinates of all 4 atoms:
Ga (0.5000, 0.5000, 0.5000)  8 W 2.71
W (0.2500, 0.2500, 0.2500)  4 Ga 2.71, 4 Cl 2.71
W (0.7500, 0.7500, 0.7500)  4 Cl 2.71, 4 Ga 2.71
Cl (0.0000, 0.0000, 0.0000)  8 W 2.71

Properties
Mass density   12.86 g/cm3
SG   No. 225
Spin magnetization   0.0 μB per cell
Density of states at the Fermi level   5.13 states/eV/f.u.

2:
Below is a relaxed structure of GaW2Cl, with properties calculated at the PBE level.

a = 3.8557 Å, b = 3.8557 Å, c = 9.8388 Å
α = 78.70°, β = 78.70°, γ = 90.00°
Closest atoms and distances in Å follow each position.
Fractional coordinates of all 8 atoms:
Ga (0.0000, 0.0000, 0.0000)  4 W 2.71, 4 Cl 2.73
Ga (0.7500, 0.2500, 0.5000)  4 W 2.71, 4 Cl 2.73
W (0.6352, 0.1250, 0.2500)  4 W 2.67-2.78, 2 Ga 2.71, 2 Cl 2.74
W (0.1148, 0.6250, 0.2500)  4 W 2.67-2.78, 2 Ga 2.71, 2 Cl 2.74
W (0.3750, 0.3648, 0.7500)  4 W 2.67-2.78, 2 Ga 2.71, 2 Cl 2.74
W (0.8750, 0.8852, 0.7500)  4 W 2.67-2.78, 2 Ga 2.71, 2 Cl 2.74
Cl (0.5000, 0.5000, 0.0000)  4 Ga 2.73, 4 W 2.74
Cl (0.2500, 0.7500, 0.5000)  4 Ga 2.73, 4 W 2.74

Properties
Mass density   11.17 g/cm3
SG   No. 122
Spin magnetization   0.0 μB per cell
Density of states at the Fermi level   2.63 states/eV/f.u.

Computed stability ranking, most favorable first: 2, 1

1:
Below is a relaxed structure of Ga2WCl, with properties calculated at the PBE level.

a = 4.6668 Å, b = 4.6668 Å, c = 4.6668 Å
α = 60.00°, β = 60.00°, γ = 60.00°
Closest atoms and distances in Å follow each position.
Fractional coordinates of all 4 atoms:
Ga (0.2500, 0.2500, 0.2500)  4 Cl 2.86, 4 W 2.86
Ga (0.7500, 0.7500, 0.7500)  4 Cl 2.86, 4 W 2.86
W (0.5000, 0.5000, 0.5000)  8 Ga 2.86
Cl (0.0000, 0.0000, 0.0000)  8 Ga 2.86

Properties
Mass density   8.29 g/cm3
SG   No. 225
Spin magnetization   0.0 μB per cell
Density of states at the Fermi level   3.06 states/eV/f.u.

2:
Below is a relaxed structure of Ga2WCl, with properties calculated at the PBE level.

a = 8.8591 Å, b = 8.8591 Å, c = 6.6719 Å
α = 48.40°, β = 48.40°, γ = 90.00°
Closest atoms and distances in Å follow each position.
Fractional coordinates of all 8 atoms:
Ga (0.7298, 0.1250, 0.2500)  2 W 2.62
Ga (0.0202, 0.6250, 0.2500)  2 W 2.62
Ga (0.3750, 0.2702, 0.7500)  2 W 2.62
Ga (0.8750, 0.9798, 0.7500)  2 W 2.62
W (0.0000, 0.0000, 0.0000)  2 Cl 2.30
W (0.7500, 0.2500, 0.5000)  2 Cl 2.30
Cl (0.5000, 0.5000, 0.0000)  2 W 2.30
Cl (0.2500, 0.7500, 0.5000)  2 W 2.30

Properties
Mass density   6.61 g/cm3
SG   No. 122
Spin magnetization   0.0 μB per cell
Density of states at the Fermi level   2.43 states/eV/f.u.

Computed stability ranking, most favorable first: 2, 1

1:
Below is a relaxed structure of Ga3WCl, with properties calculated at the PBE level.

a = 4.7025 Å, b = 4.7025 Å, c = 4.7025 Å
α = 90.00°, β = 90.00°, γ = 90.00°
Closest atoms and distances in Å follow each position.
Fractional coordinates of all 5 atoms:
Ga (0.0000, 0.5000, 0.0000)  2 Cl 2.35
Ga (0.0000, 0.0000, 0.5000)  2 Cl 2.35
Ga (0.5000, 0.0000, 0.0000)  2 Cl 2.35
W (0.5000, 0.5000, 0.5000)  12 Ga 3.33
Cl (0.0000, 0.0000, 0.0000)  6 Ga 2.35

Properties
Mass density   6.84 g/cm3
SG   No. 221
Spin magnetization   0.0 μB per cell
Density of states at the Fermi level   4.71 states/eV/f.u.

2:
Below is a relaxed structure of Ga3WCl, with properties calculated at the PBE level.

a = 5.0650 Å, b = 5.0650 Å, c = 5.0650 Å
α = 90.00°, β = 90.00°, γ = 90.00°
Closest atoms and distances in Å follow each position.
Fractional coordinates of all 5 atoms:
Ga (0.0000, 0.5000, 0.0000)  2 W 2.53
Ga (0.0000, 0.0000, 0.5000)  2 W 2.53
Ga (0.5000, 0.0000, 0.0000)  2 W 2.53
W (0.0000, 0.0000, 0.0000)  6 Ga 2.53
Cl (0.5000, 0.5000, 0.5000)  12 Ga 3.58

Properties
Mass density   5.48 g/cm3
SG   No. 221
Spin magnetization   2.3 μB per cell
Density of states at the Fermi level   7.65 states/eV/f.u.

Computed stability ranking, most favorable first: 2, 1

1:
Below is a relaxed structure of Y2GaCl2, with properties calculated at the PBE level.

a = 8.3880 Å, b = 8.3880 Å, c = 3.2064 Å
α = 90.00°, β = 90.00°, γ = 90.00°
Closest atoms and distances in Å follow each position.
Fractional coordinates of all 10 atoms:
Y (0.1827, 0.6827, 0.5000)  6 Cl 2.84-3.05
Y (0.6827, 0.8173, 0.5000)  6 Cl 2.84-3.05
Y (0.8173, 0.3173, 0.5000)  6 Cl 2.84-3.05
Y (0.3173, 0.1827, 0.5000)  6 Cl 2.84-3.05
Ga (0.0000, 0.0000, 0.0000)  2 Ga 3.21, 4 Cl 3.34, 8 Y 3.46
Ga (0.5000, 0.5000, 0.0000)  2 Ga 3.21, 4 Cl 3.34, 8 Y 3.46
Cl (0.3798, 0.8798, 0.0000)  6 Y 2.84-3.05, 1 Cl 2.85
Cl (0.8798, 0.6202, 0.0000)  6 Y 2.84-3.05, 1 Cl 2.85
Cl (0.6202, 0.1202, 0.0000)  6 Y 2.84-3.05, 1 Cl 2.85
Cl (0.1202, 0.3798, 0.0000)  6 Y 2.84-3.05, 1 Cl 2.85

Properties
Mass density   4.69 g/cm3
SG   No. 127
Spin magnetization   0.0 μB per cell
Density of states at the Fermi level   3.13 states/eV/f.u.

2:
Below is a relaxed structure of Y2GaCl2, with properties calculated at the PBE level.

a = 5.3304 Å, b = 5.3304 Å, c = 5.6333 Å
α = 61.76°, β = 61.76°, γ = 90.00°
Closest atoms and distances in Å follow each position.
Fractional coordinates of all 5 atoms:
Y (0.7500, 0.2500, 0.5000)  4 Cl 2.74
Y (0.2500, 0.7500, 0.5000)  4 Cl 2.74
Ga (0.0000, 0.0000, 0.0000)  2 Cl 2.71
Cl (0.3234, 0.3234, 0.3531)  1 Ga 2.71, 4 Y 2.74, 1 Cl 2.96
Cl (0.6766, 0.6766, 0.6469)  1 Ga 2.71, 4 Y 2.74, 1 Cl 2.96

Properties
Mass density   4.45 g/cm3
SG   No. 139
Spin magnetization   0.0 μB per cell
Density of states at the Fermi level   1.75 states/eV/f.u.

Computed stability ranking, most favorable first: 2, 1